Entry 1:
! PBE-GGA La3Tb2PrTm6, optimized geometry; values from VASP
! **DFT total energy**: -4.616 eV/atom
! **DFT formation energy**: 21 meV per atom
! **Size of the total moment**: 0.0 μB per cell
! **Crystal system**: monoclinic
! **Fermi-level density of states**: 14.2 states/eV/f.u.
&SYSTEM
  ibrav = 0, nat = 12, ntyp = 4
/
ATOMIC_SPECIES
La 138.91 La.upf
Tb 158.93 Tb.upf
Pr 140.91 Pr.upf
Tm 168.93 Tm.upf
CELL_PARAMETERS angstrom
3.112 -5.389 0.000
3.112 5.389 0.000
-2.073 0.000 11.569
ATOMIC_POSITIONS angstrom
La 0.000 0.000 0.000
La 3.112 1.794 0.000
La 3.112 -1.794 0.000
Tb 2.076 3.591 5.785
Tb 2.076 -3.591 5.785
Pr 2.076 0.000 5.785
Tm 1.036 1.800 2.934
Tm -0.003 0.000 8.634
Tm 1.036 -1.800 2.934
Tm 3.116 1.800 8.635
Tm 4.154 0.000 2.935
Tm 3.116 -1.800 8.635


Entry 2:
! PBE-GGA Ge2HO, optimized geometry; values from VASP
! **DFT total energy**: -4.360 eV/atom
! **Size of the total moment**: 0.0 μB per cell
! **Energy above the most stable polymorph in this dataset**: 0.000 eV per atom
! **Crystal system**: tetragonal
! **Fermi-level density of states**: 1.8 states/eV/f.u.
&SYSTEM
  ibrav = 0, nat = 8, ntyp = 3
/
ATOMIC_SPECIES
Ge 72.64 Ge.upf
H 1.01 H.upf
O 16.00 O.upf
CELL_PARAMETERS angstrom
-2.465 2.465 4.730
2.465 -2.465 4.730
2.465 2.465 -4.730
ATOMIC_POSITIONS angstrom
Ge 3.698 1.156 -1.183
Ge 1.156 1.233 1.183
Ge -1.233 1.309 3.548
Ge 1.309 1.233 5.913
H 0.000 0.000 0.000
H 0.000 2.465 2.365
O 2.465 0.000 2.365
O 0.000 0.000 4.730


What did the first record say?
! PBE-GGA La3Tb2PrTm6, optimized geometry; values from VASP
! **DFT total energy**: -4.616 eV/atom
! **DFT formation energy**: 21 meV per atom
! **Size of the total moment**: 0.0 μB per cell
! **Crystal system**: monoclinic
! **Fermi-level density of states**: 14.2 states/eV/f.u.
&SYSTEM
  ibrav = 0, nat = 12, ntyp = 4
/
ATOMIC_SPECIES
La 138.91 La.upf
Tb 158.93 Tb.upf
Pr 140.91 Pr.upf
Tm 168.93 Tm.upf
CELL_PARAMETERS angstrom
3.112 -5.389 0.000
3.112 5.389 0.000
-2.073 0.000 11.569
ATOMIC_POSITIONS angstrom
La 0.000 0.000 0.000
La 3.112 1.794 0.000
La 3.112 -1.794 0.000
Tb 2.076 3.591 5.785
Tb 2.076 -3.591 5.785
Pr 2.076 0.000 5.785
Tm 1.036 1.800 2.934
Tm -0.003 0.000 8.634
Tm 1.036 -1.800 2.934
Tm 3.116 1.800 8.635
Tm 4.154 0.000 2.935
Tm 3.116 -1.800 8.635